Entry 1:
Below is a relaxed structure of BaLi2SnPt, with properties calculated at the PBE-GGA level.

The structure in extended XYZ format:
```
5
Lattice="-0.018 5.110 -1.897 -5.347 -0.193 -0.469 -0.515 1.887 5.088" Properties=species:S:1:pos:R:3 pbc="T T T"
Pt -2.673 -0.097 -0.235
Ba 0.000 0.000 0.000
Li -0.257 0.943 2.544
Li -0.009 2.555 -0.948
Sn -2.940 3.401 1.361
```

Summary:
Spin magnetization = 0.0 Bohr magnetons per cell
Calculated density = 4.84 g/cm3
DFT total energy = -11.7 eV per cell
Formation energy = 811 meV/atom
Offset from the most stable computed form = 1.275 eV/atom

***

Entry 2:
Below is a relaxed structure of La3SnN, with properties calculated at the PBE-GGA level.

The structure in extended XYZ format:
```
10
Lattice="-1.846 6.672 -1.324 1.395 -1.919 -6.609 -5.551 -1.979 -0.524" Properties=species:S:1:pos:R:3 pbc="T T T"
La -1.154 5.203 -4.228
La -1.808 -1.443 -6.190
La -0.465 3.634 -7.393
La -2.515 -1.093 -2.745
La -0.634 2.116 -1.687
La -3.035 1.993 -5.286
N -2.394 4.140 -5.842
N -1.274 -0.030 -1.132
Sn -5.275 -0.730 -5.360
Sn -3.944 2.860 -2.138
```

Summary:
Spin magnetization = 0.0 Bohr magnetons per cell
E_form (uncorrected) = -0.87 eV/atom
Calculated density = 6.30 g/cm3
DFT total energy = -62.9 eV per cell

***

Entry 3:
Below is a relaxed structure of SrAcAsS, with properties calculated at the PBE-GGA level.

The structure in extended XYZ format:
```
4
Lattice="4.467 0.000 0.000 2.233 3.868 0.000 2.233 1.289 7.192" Properties=species:S:1:pos:R:3 pbc="T T T"
Ac 6.700 3.868 0.025
S 6.700 3.868 5.425
As 2.233 1.289 1.752
Sr 4.467 2.579 3.586
```

Summary:
Spin magnetization = 0.0 Bohr magnetons per cell
E_form (uncorrected) = -1.75 eV/atom
Calculated density = 5.63 g/cm3
DFT total energy = -21.6 eV per cell

***

Entry 4:
Below is a relaxed structure of SiHCl, with properties calculated at the PBE-GGA level.

The structure in extended XYZ format:
```
6
Lattice="-3.318 2.863 4.001 -3.218 -0.276 -2.279 -1.813 -5.168 3.104" Properties=species:S:1:pos:R:3 pbc="T T T"
Cl -7.265 -2.529 5.268
Cl -2.700 -0.277 2.316
H -4.739 0.459 4.770
H -5.220 -3.259 2.811
Si -4.353 -3.376 1.599
Si -2.288 -2.291 1.980
```

Summary:
Spin magnetization = 0.0 Bohr magnetons per cell
Calculated density = 1.46 g/cm3
DFT total energy = -24.1 eV per cell
Offset from the most stable computed form = 0.000 eV/atom

***

- Look up the calculated density of the fourth one.
  1.46 g/cm3

***

- Look up the spin magnetization of the first one.
  0.0 Bohr magnetons per cell

***

- Look up the spin magnetization of the first one.
  0.0 Bohr magnetons per cell

***

- Which of these has the highest DFT total energy?
  BaLi2SnPt